# 1
VASP calculation (SCAN) on a PBEsol-optimized structure of BeSbAsSe2.

Structure (extended XYZ):
```
5
Lattice="-5.1096 -0.4632 0.7791 0.9047 -2.3362 4.5446 -0.0553 4.6466 2.3996" Properties=species:S:1:pos:R:3 pbc="T T T"
As -0.0277 2.3233 1.1998
Se 0.4524 -1.1681 2.2723
Se -2.5548 -0.2316 0.3895
Be -2.1301 0.9236 3.8617
Sb 0.0000 0.0000 0.0000
```

Output
Energy relative to the elements, uncorrected (eV/f.u.): 5.71

---

# 2
VASP calculation (SCAN) on a PBEsol-optimized structure of Sc2BeAs.

Structure (extended XYZ):
```
4
Lattice="-1.5474 1.5147 2.7180 1.7292 -2.7105 2.4950 3.6680 3.4848 -2.0753" Properties=species:S:1:pos:R:3 pbc="T T T"
Sc 1.1433 2.2296 1.6299
Sc 3.7820 2.2369 3.1280
Be 2.4388 -0.1462 1.4699
As 0.4264 -0.3402 2.6539
```

Output
ΔE_f (eV/f.u.): -2.3

---

In the order shown, the computed energy above the most stable polymorph in this dataset values come out to 0.8212; 0.2415 eV per atom.
In the order shown, the computed total DFT energy (no corrections) values come out to -96.2; -55.3 eV/cell.